No. 1
The following is a DFT calculation (PBE) of Pm6Sn3Au after structural relaxation.

Values from the calculation:
The energy relative to the elements is -0.50 eV/atom. For the density of states at the Fermi level, the calculation gives 20.82 states/eV per cell.

Geometry as POSCAR:
```
Pm6Sn3Au
1.0
-3.887 -6.145 0.742
4.433 -3.703 -7.441
5.071 -2.290 7.600
Pm Sn Au
12 6 2
Cartesian
3.596 -4.907 -2.807
3.501 -8.840 -2.424
2.283 -3.033 3.293
1.984 -7.188 7.563
2.265 -2.261 -0.635
6.505 -4.934 -0.564
3.342 -5.411 -6.606
1.914 -7.400 3.729
5.706 -5.191 3.351
4.624 -7.867 1.294
0.079 -6.682 -2.481
0.384 -5.193 1.223
-2.290 -6.534 2.605
-0.505 -3.814 -1.515
4.533 -10.837 2.719
1.625 -7.955 0.082
3.619 -4.772 0.890
6.318 -8.116 -1.400
4.589 -3.118 5.247
2.213 -7.147 -4.572
```

No. 2
The following is a DFT calculation (PBE) of MnZn2Br after structural relaxation.

Values from the calculation:
The calculation puts the polymorph energy (0 for the lowest one) at 25 meV per atom. The value obtained for the uncorrected formation energy is 70 meV/atom. For the density of states at the Fermi level, the calculation gives 1.69 states/eV per cell.

Geometry as POSCAR:
```
MnZn2Br
1.0
-1.929 -2.786 1.303
-0.499 -1.336 -3.596
5.459 -3.542 0.507
Br Zn Mn
1 2 1
Cartesian
2.531 -2.903 -2.462
-0.734 -1.951 -0.200
0.163 -1.342 -2.630
3.052 -5.243 -1.636
```

No. 3
The following is a DFT calculation (PBE) of LaZnAgF6 after structural relaxation.

Values from the calculation:
The value obtained for the uncorrected formation energy is -2783 meV/atom. For the density of states at the Fermi level, the calculation gives 0.00 states/eV per cell.

Geometry as POSCAR:
```
LaZnAgF6
1.0
-2.582 -0.789 -4.579
-3.892 -2.493 2.624
-5.075 9.255 1.266
F Zn Ag La
12 2 2 2
Cartesian
-9.390 6.899 -0.076
-3.396 2.075 -0.127
-6.336 0.585 -1.015
-7.761 5.492 2.028
-7.987 4.136 -0.475
-3.807 0.663 -2.958
-7.089 8.066 0.618
-5.511 5.392 0.273
-6.125 2.306 1.959
-5.280 3.404 -2.684
-7.046 6.423 -1.904
-4.616 -0.390 1.490
-1.691 3.084 0.422
-7.465 6.071 0.078
-5.066 9.239 1.264
-5.765 2.970 -0.346
-3.403 6.207 0.849
-4.103 -0.062 -0.761
```

No. 4
The following is a DFT calculation (PBE) of Dy2HoHgC after structural relaxation.

Values from the calculation:
The energy relative to the elements is -0.37 eV/atom. For the density of states at the Fermi level, the calculation gives 7.49 states/eV per cell.

Geometry as POSCAR:
```
Dy2HoHgC
1.0
4.856 0.000 0.000
0.000 4.910 0.000
0.000 0.000 4.910
Dy Ho C Hg
2 1 1 1
Cartesian
0.000 0.000 2.455
0.000 2.455 0.000
2.428 0.000 0.000
0.000 0.000 0.000
2.428 2.455 2.455
```

No. 5
The following is a DFT calculation (PBE) of Rb3Mn2InI9 after structural relaxation.

Values from the calculation:
The value obtained for the uncorrected formation energy is -820 meV/atom. For the density of states at the Fermi level, the calculation gives 3.77 states/eV per cell.

Geometry as POSCAR:
```
Rb3Mn2InI9
1.0
8.359 0.000 0.000
-4.180 7.239 0.000
0.000 0.000 10.320
I Mn Rb In
9 2 3 1
Cartesian
6.181 1.258 7.017
4.180 0.000 0.000
-2.001 5.982 3.303
2.178 1.258 7.017
-2.090 3.620 0.000
4.180 4.724 7.017
2.001 5.982 3.303
0.000 2.515 3.303
2.090 3.620 0.000
4.180 2.413 8.656
0.000 4.826 1.664
0.000 0.000 0.000
4.180 2.413 3.338
0.000 4.826 6.982
0.000 0.000 5.160
```

No. 6
The following is a DFT calculation (PBE) of NaTlS2 after structural relaxation.

Values from the calculation:
The value obtained for the uncorrected formation energy is -509 meV/atom. For the density of states at the Fermi level, the calculation gives 0.00 states/eV per cell.

Geometry as POSCAR:
```
NaTlS2
1.0
17.951 0.000 -2.761
0.000 4.675 0.000
-7.226 0.000 6.626
S Tl Na
8 4 4
Cartesian
-2.153 3.311 2.857
-0.578 3.999 1.609
11.303 0.676 2.256
7.516 0.974 -0.925
3.210 3.701 4.790
5.941 1.661 0.324
4.785 3.013 3.542
12.878 1.363 1.008
7.261 3.991 1.606
-5.327 3.021 6.299
3.465 0.683 2.259
16.053 1.654 -2.434
0.466 3.278 4.135
10.259 1.396 -0.270
-2.329 0.941 4.424
13.055 3.734 -0.559
```

No. 7
The following is a DFT calculation (PBE) of DyLuHg after structural relaxation.

Values from the calculation:
The calculation puts the polymorph energy (0 for the lowest one) at 114 meV per atom. The energy relative to the elements is -0.18 eV/atom. For the density of states at the Fermi level, the calculation gives 3.07 states/eV per cell.

Geometry as POSCAR:
```
DyLuHg
1.0
3.654 0.000 0.000
0.000 5.094 0.000
0.000 -2.547 4.412
Dy Lu Hg
1 1 1
Cartesian
2.286 2.547 1.471
0.364 0.000 0.000
1.004 0.000 2.941
```

No. 8
The following is a DFT calculation (PBE) of Ce7Si2N2 after structural relaxation.

Values from the calculation:
The value obtained for the uncorrected formation energy is -626 meV/atom. For the density of states at the Fermi level, the calculation gives 25.12 states/eV per cell.

Geometry as POSCAR:
```
Ce7Si2N2
1.0
6.449 0.199 -1.343
0.172 6.101 -0.157
-1.742 -0.203 6.353
Ce N Si
7 2 2
Cartesian
5.368 4.543 1.672
2.025 4.905 2.818
3.377 4.545 -0.448
1.502 1.553 5.302
-0.490 1.554 3.182
2.854 1.192 2.036
0.000 0.000 0.000
0.282 5.768 4.456
4.596 0.329 0.398
0.893 3.050 0.781
3.986 3.047 4.073
```

No. 9
The following is a DFT calculation (PBE) of Ac2UCrSe6 after structural relaxation.

Values from the calculation:
The value obtained for the uncorrected formation energy is -1376 meV/atom. For the density of states at the Fermi level, the calculation gives 5.73 states/eV per cell.

Geometry as POSCAR:
```
Ac2UCrSe6
1.0
-5.628 1.196 -4.851
-0.616 -4.259 -6.174
-5.456 -4.844 -0.702
Se Ac Cr U
6 2 1 1
Cartesian
-5.125 -5.762 -3.810
-8.111 -3.456 -4.234
-7.483 -2.628 -8.362
-3.196 -5.417 -7.080
-4.841 -1.517 -3.935
-7.386 -6.121 -6.838
-5.518 -3.577 -6.155
-4.449 -3.703 -1.589
-2.255 -1.218 -3.522
-8.105 -5.171 -9.384
```

No. 10
The following is a DFT calculation (PBE) of LiPmSnAu after structural relaxation.

Values from the calculation:
The calculation puts the polymorph energy (0 for the lowest one) at 0 meV per atom. The energy relative to the elements is -0.59 eV/atom. For the density of states at the Fermi level, the calculation gives 2.30 states/eV per cell.

Geometry as POSCAR:
```
LiPmSnAu
1.0
4.971 0.000 0.000
2.486 4.305 0.000
2.486 1.435 4.059
Sn Li Pm Au
1 1 1 1
Cartesian
7.457 4.305 3.044
0.000 0.000 0.000
2.486 1.435 1.015
4.971 2.870 2.029
```

No. 11
The following is a DFT calculation (PBE) of LiCaAg2 after structural relaxation.

Values from the calculation:
The calculation puts the polymorph energy (0 for the lowest one) at 33 meV per atom. The energy relative to the elements is -0.21 eV/atom. For the density of states at the Fermi level, the calculation gives 1.70 states/eV per cell.

Geometry as POSCAR:
```
LiCaAg2
1.0
-3.831 -3.084 -0.774
-4.568 1.840 -0.735
-2.100 -0.278 -4.506
Ag Li Ca
2 1 1
Cartesian
-7.875 -1.142 -4.512
-2.625 -0.381 -1.504
0.000 0.000 0.000
-5.250 -0.761 -3.008
```

No. 12
The following is a DFT calculation (PBE) of Rb2TeBr6 after structural relaxation.

Values from the calculation:
The calculation puts the polymorph energy (0 for the lowest one) at 2 meV per atom. The value obtained for the uncorrected formation energy is -1037 meV/atom. For the density of states at the Fermi level, the calculation gives 0.00 states/eV per cell.

Geometry as POSCAR:
```
Rb2TeBr6
1.0
-2.359 -5.705 -4.933
5.780 -4.834 2.381
-5.003 3.256 5.179
Br Te Rb
6 1 2
Cartesian
-5.090 -2.070 1.727
3.508 -5.213 0.900
0.825 -2.541 -0.615
-1.288 -0.955 2.220
2.596 -7.998 -1.937
-0.294 -6.328 0.407
0.000 0.000 0.000
1.244 -3.424 3.142
-2.826 -3.859 -0.515
```

No. 13
The following is a DFT calculation (PBE) of ErZn11Ni after structural relaxation.

Values from the calculation:
The energy relative to the elements is -0.20 eV/atom. For the density of states at the Fermi level, the calculation gives 5.28 states/eV per cell.

Geometry as POSCAR:
```
ErZn11Ni
1.0
-4.580 -1.627 1.564
0.313 -6.035 2.997
-1.394 1.976 6.305
Ni Zn Er
1 11 1
Cartesian
-2.134 -3.831 2.281
-2.391 -3.180 6.637
-2.327 -5.101 4.461
-5.281 -2.448 6.736
-3.334 -0.585 6.406
-2.987 0.175 3.935
0.156 -3.017 1.499
-1.558 -1.373 2.453
-4.103 -4.313 8.413
-0.381 -3.237 4.130
-0.697 0.988 3.153
-3.271 -2.506 4.230
0.000 0.000 0.000
```

No. 14
The following is a DFT calculation (PBE) of Li2CrTe after structural relaxation.

Values from the calculation:
The value obtained for the uncorrected formation energy is 60 meV/atom. For the density of states at the Fermi level, the calculation gives 1.21 states/eV per cell.

Geometry as POSCAR:
```
Li2CrTe
1.0
-0.852 -4.238 -2.132
1.742 -2.075 -3.986
2.708 -2.648 0.700
Cr Li Te
1 2 1
Cartesian
0.900 -2.240 -1.355
2.700 -6.721 -4.064
2.708 -2.648 0.700
1.799 -4.480 -2.709
```

No. 15
The following is a DFT calculation (PBE) of Er2VIr3 after structural relaxation.

Values from the calculation:
The energy relative to the elements is -0.83 eV/atom. For the density of states at the Fermi level, the calculation gives 7.72 states/eV per cell.

Geometry as POSCAR:
```
Er2VIr3
1.0
5.511 0.000 0.000
-2.756 4.773 0.000
0.000 0.000 8.089
V Er Ir
2 4 6
Cartesian
0.000 0.000 4.045
0.000 0.000 0.000
0.000 3.182 7.590
2.756 1.591 3.545
2.756 1.591 0.500
0.000 3.182 4.544
1.400 0.808 6.067
4.111 0.808 6.067
1.356 3.965 2.022
-1.356 3.965 2.022
2.756 3.157 6.067
0.000 1.616 2.022
```

No. 16
The following is a DFT calculation (PBE) of La2YScCl after structural relaxation.

Values from the calculation:
The value obtained for the uncorrected formation energy is -505 meV/atom. For the density of states at the Fermi level, the calculation gives 5.64 states/eV per cell.

Geometry as POSCAR:
```
La2YScCl
1.0
5.624 0.000 0.000
0.000 5.624 0.000
0.000 0.000 4.887
La Y Sc Cl
2 1 1 1
Cartesian
2.812 0.000 0.000
0.000 2.812 0.000
2.812 2.812 2.444
0.000 0.000 2.444
0.000 0.000 0.000
```

No. 17
The following is a DFT calculation (PBE) of LiThCoSn after structural relaxation.

Values from the calculation:
The energy relative to the elements is -0.39 eV/atom.

Geometry as POSCAR:
```
LiThCoSn
1.0
-1.570 0.749 4.409
2.686 -1.218 3.710
1.993 3.357 2.687
Co Sn Th Li
1 1 1 1
Cartesian
2.331 2.166 8.105
1.554 1.444 5.403
0.000 0.000 0.000
0.777 0.722 2.702
```

No. 18
The following is a DFT calculation (PBE) of Pu2Mn3Ni after structural relaxation.

Values from the calculation:
The energy relative to the elements is -0.10 eV/atom. For the density of states at the Fermi level, the calculation gives 11.16 states/eV per cell.

Geometry as POSCAR:
```
Pu2Mn3Ni
1.0
-1.920 -1.456 -4.762
4.966 1.913 0.397
0.974 -3.293 3.605
Pu Mn Ni
2 3 1
Cartesian
0.532 -0.754 -2.976
3.488 -2.083 2.216
2.010 -1.419 -0.380
-0.473 -2.375 -0.578
0.487 -1.647 1.802
0.000 0.000 0.000
```

No. 19
The following is a DFT calculation (PBE) of TaAs2P after structural relaxation.

Values from the calculation:
The energy relative to the elements is 0.15 eV/atom. For the density of states at the Fermi level, the calculation gives 2.14 states/eV per cell.

Geometry as POSCAR:
```
TaAs2P
1.0
-3.299 -3.421 5.415
-0.021 -3.423 6.340
-1.948 -0.671 6.904
P As Ta
1 2 1
Cartesian
-1.317 -1.878 4.665
-2.663 -3.799 9.433
-5.239 -7.472 18.556
-3.951 -5.635 13.994
```

No. 20
The following is a DFT calculation (PBE) of PaCuTe5 after structural relaxation.

Values from the calculation:
The value obtained for the uncorrected formation energy is -261 meV/atom. For the density of states at the Fermi level, the calculation gives 4.64 states/eV per cell.

Geometry as POSCAR:
```
PaCuTe5
1.0
-2.760 5.089 -5.471
-6.488 -3.755 -2.694
-7.936 4.016 2.138
Te Cu Pa
10 2 2
Cartesian
-5.394 -0.580 -2.625
-9.388 4.431 0.032
-5.256 4.878 -4.555
-5.727 1.696 -0.809
-8.021 4.609 -2.555
-11.457 3.655 -5.219
-11.790 5.931 -3.402
-9.163 0.742 -3.472
-11.928 0.473 -1.472
-7.796 0.919 -6.059
0.000 0.000 0.000
-3.968 2.008 1.069
-10.785 3.184 -2.323
-6.399 2.167 -3.704
```

No. 21
The following is a DFT calculation (PBE) of Zn2CdSiBr after structural relaxation.

Values from the calculation:
The value obtained for the uncorrected formation energy is 876 meV/atom. For the density of states at the Fermi level, the calculation gives 2.58 states/eV per cell.

Geometry as POSCAR:
```
Zn2CdSiBr
1.0
5.171 0.000 0.000
0.000 5.173 0.000
0.000 0.000 5.171
Zn Si Br Cd
2 1 1 1
Cartesian
0.000 0.000 2.586
2.586 0.000 0.000
0.000 2.587 0.000
0.000 0.000 0.000
2.586 2.587 2.586
```

No. 22
The following is a DFT calculation (PBE) of PrTm4Co4 after structural relaxation.

Values from the calculation:
The energy relative to the elements is -0.06 eV/atom. For the density of states at the Fermi level, the calculation gives 11.18 states/eV per cell.

Geometry as POSCAR:
```
PrTm4Co4
1.0
5.457 0.000 0.000
0.000 8.474 0.000
0.000 0.000 8.474
Pr Co Tm
2 8 8
Cartesian
2.729 4.237 4.237
0.000 0.000 0.000
4.766 6.176 1.202
2.037 3.036 1.939
0.691 7.273 6.176
3.420 6.536 3.036
4.766 2.298 7.273
3.420 1.939 5.439
0.691 1.202 2.298
2.037 5.439 6.536
4.833 3.546 1.522
2.105 2.715 7.783
2.105 5.759 0.691
3.353 0.691 2.715
0.624 1.522 4.928
4.833 4.928 6.952
3.353 7.783 5.759
0.624 6.952 3.546
```

No. 23
The following is a DFT calculation (PBE) of Er3TlH2 after structural relaxation.

Values from the calculation:
The uncorrected energy comes out at -24.559 eV/f.u. For the density of states at the Fermi level, the calculation gives 8.10 states/eV per cell.

Geometry as POSCAR:
```
Er3TlH2
1.0
-3.476 0.701 -0.089
-0.007 -1.063 -8.083
-0.002 -8.830 1.247
H Er Tl
4 6 2
Cartesian
-0.994 -5.432 -3.951
-2.491 -3.760 -2.974
-0.200 -1.257 -2.096
-3.286 -7.935 -4.829
-0.215 -1.860 -6.253
-1.435 -7.607 -3.826
-2.050 -1.585 -3.099
-2.560 -4.359 -5.020
-0.925 -4.833 -1.905
-3.271 -7.332 -0.672
-2.303 -2.449 -0.024
-1.182 -6.743 -6.901
```